This record from Alexandria via LeMat-Bulk describes a relaxed structure of CsRb2GeO4. The functional is PBE.

Computed properties:
DFT total energy: -4.667 eV/atom
Uncorrected formation energy: -29.10 kcal/mol of atoms
Symmetry: No. 74
D(E_F): 0.62 states/eV/f.u.
Calculated density: 4.1 Mg/m³

Lattice parameters (Å, degrees): 7.7556 7.7556 9.1707 126.21 126.21 72.56
With the nearest neighbours (Å) after each atom.
Positions (direct):
Cs (0.0000, 0.5000, 0.0000)  8 O 3.16-3.23
Cs (0.0000, 0.5000, 0.5000)  8 O 3.16-3.23
Rb (0.5000, 0.0000, 0.0000)  8 O 3.10-3.17
Rb (0.5000, 0.0000, 0.5000)  8 O 3.10-3.17
Rb (0.0000, 0.0000, 0.5000)  4 O 2.77-2.78
Rb (0.5000, 0.5000, 0.0000)  4 O 2.77-2.78
Ge (0.5000, 0.5000, 0.5000)  4 O 1.82
Ge (0.0000, 0.0000, 0.0000)  4 O 1.82
O (0.2097, 0.8142, 0.0120)  1 Ge 1.82
O (0.6858, 0.2903, 0.4880)  1 Ge 1.82
O (0.3142, 0.7097, 0.5120)  1 Ge 1.82
O (0.7903, 0.1858, 0.9880)  1 Ge 1.82
O (0.9998, 0.9999, 0.1980)  1 Ge 1.82
O (0.5001, 0.5002, 0.3020)  1 Ge 1.82
O (0.4999, 0.4998, 0.6980)  1 Ge 1.82
O (0.0002, 0.0001, 0.8020)  1 Ge 1.82

---

This record from Alexandria via LeMat-Bulk describes a relaxed structure of CsRe2GeO8. The functional is PBE.

Computed properties:
DFT total energy: -7.347 eV/atom
Uncorrected formation energy: -34.85 kcal/mol of atoms
Symmetry: No. 155
D(E_F): 6.14 states/eV/f.u.
Calculated density: 4.7 Mg/m³

Lattice parameters (Å, degrees): 5.5182 5.5182 10.0672 74.09 74.09 60.00
With the nearest neighbours (Å) after each atom.
Positions (direct):
Cs (0.0000, 0.0000, 0.0000)  6 O 3.32
Re (0.7610, 0.7610, 0.7169)  4 O 1.77-1.78
Re (0.2390, 0.2390, 0.2831)  4 O 1.77-1.78
Ge (0.5000, 0.5000, 0.5000)  6 O 2.31
O (0.6993, 0.6993, 0.9021)  1 Re 1.77
O (0.3007, 0.3007, 0.0979)  1 Re 1.77
O (0.5021, 0.2564, 0.3453)  1 Re 1.78
O (0.7436, 0.4979, 0.6547)  1 Re 1.78
O (0.1038, 0.7436, 0.6547)  1 Re 1.78
O (0.2564, 0.8962, 0.3453)  1 Re 1.78
O (0.8962, 0.5021, 0.3453)  1 Re 1.78
O (0.4979, 0.1038, 0.6547)  1 Re 1.78

---

This record from Alexandria via LeMat-Bulk describes a relaxed structure of CsReGeO6. The functional is PBE.

Computed properties:
DFT total energy: -6.912 eV/atom
Uncorrected formation energy: -37.25 kcal/mol of atoms
Symmetry: No. 143
Calculated density: 5.2 Mg/m³

Lattice parameters (Å, degrees): 5.1774 5.1774 6.7497 90.00 90.00 60.00
With the nearest neighbours (Å) after each atom.
Positions (direct):
Cs (0.0000, 0.0000, 0.9997)  6 O 3.09
Re (0.6666, 0.6667, 0.4994)  6 O 1.90-1.91
Ge (0.3333, 0.3333, 0.5007)  6 O 1.93
O (0.9963, 0.4017, 0.3392)  1 Re 1.90, 1 Ge 1.93
O (0.4022, 0.9960, 0.6609)  1 Re 1.91, 1 Ge 1.93
O (0.6018, 0.4022, 0.6609)  1 Re 1.91, 1 Ge 1.93
O (0.9959, 0.6018, 0.6609)  1 Re 1.91, 1 Ge 1.93
O (0.4017, 0.6019, 0.3392)  1 Re 1.90, 1 Ge 1.93
O (0.6019, 0.9964, 0.3392)  1 Re 1.90, 1 Ge 1.93

---

This record from Alexandria via LeMat-Bulk describes a relaxed structure of CsGeRhO2. The functional is PBE.

Computed properties:
DFT total energy: -4.324 eV/atom
Uncorrected formation energy: 5.15 kcal/mol of atoms
Symmetry: No. 123
D(E_F): 1.97 states/eV/f.u.
Calculated density: 4.9 Mg/m³

Lattice parameters (Å, degrees): 3.7721 8.0622 3.7721 90.00 90.00 90.00
With the nearest neighbours (Å) after each atom.
Positions (direct):
Cs (0.0000, 0.5000, 0.0000)  4 Rh 2.67
Ge (0.0000, 0.0000, 0.0000)  4 O 1.89
Rh (0.5000, 0.5000, 0.5000)  4 Cs 2.67
O (0.0000, 0.0000, 0.5000)  2 Ge 1.89
O (0.5000, 0.0000, 0.0000)  2 Ge 1.89

---

This record from Alexandria via LeMat-Bulk describes a relaxed structure of Cs2GeRuO. The functional is PBE.

Computed properties:
DFT total energy: -4.029 eV/atom
Uncorrected formation energy: 1.90 kcal/mol of atoms
Symmetry: No. 123
D(E_F): 4.88 states/eV/f.u.
Calculated density: 4.9 Mg/m³

Lattice parameters (Å, degrees): 6.4498 3.7119 6.4498 90.00 90.00 90.00
With the nearest neighbours (Å) after each atom.
Positions (direct):
Cs (0.0000, 0.0000, 0.5000)  2 O 3.22
Cs (0.5000, 0.0000, 0.0000)  2 O 3.22
Ru (0.0000, 0.5000, 0.0000)  2 O 1.86
Ge (0.5000, 0.5000, 0.5000)  2 Ge 3.71, 8 Cs 3.72
O (0.0000, 0.0000, 0.0000)  2 Ru 1.86

---

This record from Alexandria via LeMat-Bulk describes a relaxed structure of CsGeSO2. The functional is PBE.

Computed properties:
DFT total energy: -3.174 eV/atom
Uncorrected formation energy: 16.82 kcal/mol of atoms
Symmetry: No. 123
D(E_F): 1.74 states/eV/f.u.
Calculated density: 2.8 Mg/m³

Lattice parameters (Å, degrees): 4.1734 9.2318 4.1734 90.00 90.00 90.00
With the nearest neighbours (Å) after each atom.
Positions (direct):
Cs (0.0000, 0.0000, 0.0000)  4 O 2.09
Ge (0.0000, 0.5000, 0.0000)  4 S 2.95
S (0.5000, 0.5000, 0.5000)  4 Ge 2.95
O (0.0000, 0.0000, 0.5000)  2 Cs 2.09
O (0.5000, 0.0000, 0.0000)  2 Cs 2.09

---

This record from Alexandria via LeMat-Bulk describes a relaxed structure of CsGeS2O8. The functional is PBE.

Computed properties:
DFT total energy: -5.825 eV/atom
Uncorrected formation energy: -31.72 kcal/mol of atoms
Symmetry: No. 166
D(E_F): 2.61 states/eV/f.u.
Calculated density: 3.7 Mg/m³

Lattice parameters (Å, degrees): 5.4341 5.4345 7.7282 69.40 69.42 60.00
With the nearest neighbours (Å) after each atom.
Positions (direct):
Cs (0.5000, 0.5000, 0.5000)  2 O 2.97
Ge (0.0000, 0.0000, 0.0000)  6 O 2.24
S (0.2918, 0.2918, 0.1245)  4 O 1.44-1.52
S (0.7082, 0.7082, 0.8755)  4 O 1.44-1.52
O (0.8845, 0.4331, 0.7978)  1 S 1.52
O (0.6402, 0.6401, 0.0794)  1 S 1.44
O (0.1155, 0.5669, 0.2022)  1 S 1.52
O (0.3598, 0.3599, 0.9206)  1 S 1.44
O (0.5670, 0.1153, 0.2022)  1 S 1.52
O (0.4330, 0.8847, 0.7978)  1 S 1.52
O (0.1155, 0.1153, 0.2022)  1 S 1.52
O (0.8845, 0.8847, 0.7978)  1 S 1.52

---

This record from Alexandria via LeMat-Bulk describes a relaxed structure of CsGeSbO5. The functional is PBE.

Computed properties:
DFT total energy: -5.957 eV/atom
Uncorrected formation energy: -38.26 kcal/mol of atoms
Symmetry: No. 98
D(E_F): 0.00 states/eV/f.u.
Calculated density: 4.9 Mg/m³

Lattice parameters (Å, degrees): 10.4127 10.4127 21.6113 103.94 103.94 90.00
With the nearest neighbours (Å) after each atom.
Positions (direct):
Cs (0.5174, 0.0174, 0.5000)  4 O 2.99-3.24
Cs (0.9826, 0.4826, 0.5000)  4 O 2.99-3.24
Cs (0.2674, 0.7326, 0.0000)  4 O 2.99-3.24
Cs (0.7326, 0.2674, 0.0000)  4 O 2.99-3.24
Cs (0.6791, 0.1791, 0.3582)  5 O 2.96-3.03
Cs (0.5709, 0.5709, 0.1418)  5 O 2.96-3.03
Cs (0.8209, 0.3209, 0.6418)  5 O 2.96-3.03
Cs (0.4291, 0.4291, 0.8582)  5 O 2.96-3.03
Cs (0.3170, 0.8170, 0.6339)  3 O 2.93-3.15
Cs (0.9330, 0.9330, 0.8661)  3 O 2.93-3.15
Cs (0.1830, 0.6830, 0.3661)  3 O 2.93-3.15
Cs (0.0670, 0.0670, 0.1339)  3 O 2.93-3.15
Cs (0.1250, 0.1294, 0.7500)  8 O 3.03-3.31
Cs (0.6250, 0.6206, 0.7500)  8 O 3.03-3.31
Cs (0.3794, 0.3750, 0.2500)  8 O 3.03-3.31
Cs (0.8706, 0.8750, 0.2500)  8 O 3.03-3.31
Ge (0.1612, 0.1485, 0.5787)  4 O 1.75-1.80
Ge (0.4175, 0.4302, 0.5787)  4 O 1.75-1.80
Ge (0.8325, 0.6015, 0.9213)  4 O 1.75-1.80
Ge (0.0888, 0.3198, 0.9213)  4 O 1.75-1.80
Ge (0.5698, 0.5825, 0.4213)  4 O 1.75-1.80
Ge (0.8515, 0.8388, 0.4213)  4 O 1.75-1.80
Ge (0.6802, 0.9112, 0.0787)  4 O 1.75-1.80
Ge (0.3985, 0.1675, 0.0787)  4 O 1.75-1.80
Ge (0.6517, 0.6637, 0.5858)  4 O 1.76-1.80
Ge (0.9341, 0.9222, 0.5858)  4 O 1.76-1.80
Ge (0.3159, 0.0863, 0.9142)  4 O 1.76-1.80
Ge (0.5983, 0.8278, 0.9142)  4 O 1.76-1.80
Ge (0.0778, 0.0659, 0.4142)  4 O 1.76-1.80
Ge (0.3363, 0.3483, 0.4142)  4 O 1.76-1.80
Ge (0.1722, 0.4017, 0.0858)  4 O 1.76-1.80
Ge (0.9137, 0.6841, 0.0858)  4 O 1.76-1.80
Sb (0.4763, 0.2225, 0.6815)  6 O 1.97-2.06
Sb (0.2052, 0.4590, 0.6815)  6 O 1.97-2.06
Sb (0.0448, 0.5275, 0.8185)  6 O 1.97-2.06
Sb (0.7737, 0.2910, 0.8185)  6 O 1.97-2.06
Sb (0.5410, 0.7948, 0.3185)  6 O 1.97-2.06
Sb (0.7775, 0.5237, 0.3185)  6 O 1.97-2.06
Sb (0.7090, 0.2263, 0.1815)  6 O 1.97-2.06
Sb (0.4725, 0.9552, 0.1815)  6 O 1.97-2.06
Sb (0.9632, 0.7095, 0.6903)  6 O 1.98-2.06
Sb (0.7272, 0.9808, 0.6903)  6 O 1.98-2.06
Sb (0.5228, 0.0405, 0.8097)  6 O 1.98-2.06
Sb (0.2868, 0.7692, 0.8097)  6 O 1.98-2.06
Sb (0.0192, 0.2728, 0.3097)  6 O 1.98-2.06
Sb (0.2905, 0.0368, 0.3097)  6 O 1.98-2.06
Sb (0.2308, 0.7132, 0.1903)  6 O 1.98-2.06
Sb (0.9595, 0.4772, 0.1903)  6 O 1.98-2.06
O (0.4207, 0.1147, 0.7365)  2 Sb 1.99-2.00
O (0.3158, 0.6217, 0.7365)  2 Sb 1.99-2.00
O (0.9342, 0.6353, 0.7635)  2 Sb 1.99-2.00
O (0.8293, 0.1283, 0.7635)  2 Sb 1.99-2.00
O (0.3783, 0.6842, 0.2635)  2 Sb 1.99-2.00
O (0.8853, 0.5793, 0.2635)  2 Sb 1.99-2.00
O (0.8717, 0.1707, 0.2365)  2 Sb 1.99-2.00
O (0.3647, 0.0658, 0.2365)  2 Sb 1.99-2.00
O (0.6708, 0.3750, 0.2500)  2 Sb 1.98
O (0.5792, 0.8750, 0.2500)  2 Sb 1.98
O (0.1250, 0.4208, 0.7500)  2 Sb 1.98
O (0.6250, 0.3292, 0.7500)  2 Sb 1.98
O (0.1819, 0.8750, 0.2500)  2 Sb 2.01
O (0.0681, 0.3750, 0.2500)  2 Sb 2.01
O (0.6250, 0.9319, 0.7500)  2 Sb 2.01
O (0.1250, 0.8181, 0.7500)  2 Sb 2.01
O (0.8466, 0.0291, 0.6347)  1 Ge 1.76
O (0.7881, 0.6056, 0.6347)  1 Ge 1.76
O (0.4619, 0.7209, 0.8653)  1 Ge 1.76
O (0.4034, 0.1444, 0.8653)  1 Ge 1.76
O (0.3944, 0.2119, 0.3653)  1 Ge 1.76
O (0.9709, 0.1534, 0.3653)  1 Ge 1.76
O (0.8556, 0.5966, 0.1347)  1 Ge 1.76
O (0.2791, 0.5381, 0.1347)  1 Ge 1.76
O (0.5239, 0.3361, 0.6238)  1 Ge 1.75
O (0.0999, 0.2877, 0.6238)  1 Ge 1.75
O (0.1501, 0.4139, 0.8762)  1 Ge 1.75
O (0.7261, 0.4623, 0.8762)  1 Ge 1.75
O (0.7123, 0.9001, 0.3762)  1 Ge 1.75
O (0.6639, 0.4761, 0.3762)  1 Ge 1.75
O (0.5377, 0.2739, 0.1238)  1 Ge 1.75
O (0.5861, 0.8499, 0.1238)  1 Ge 1.75
O (0.3324, 0.1251, 0.6000)  1 Ge 1.76
O (0.2676, 0.4749, 0.6000)  1 Ge 1.76
O (0.9824, 0.6249, 0.9000)  1 Ge 1.76
O (0.9176, 0.2751, 0.9000)  1 Ge 1.76
O (0.5251, 0.7324, 0.4000)  1 Ge 1.76
O (0.8749, 0.6676, 0.4000)  1 Ge 1.76
O (0.7249, 0.0824, 0.1000)  1 Ge 1.76
O (0.3751, 0.0176, 0.1000)  1 Ge 1.76
O (0.6296, 0.8344, 0.6097)  1 Ge 1.76
O (0.9801, 0.7753, 0.6097)  1 Ge 1.76
O (0.2699, 0.9156, 0.8903)  1 Ge 1.76
O (0.6204, 0.9747, 0.8903)  1 Ge 1.76
O (0.2247, 0.0199, 0.3903)  1 Ge 1.76
O (0.1656, 0.3704, 0.3903)  1 Ge 1.76
O (0.0253, 0.3796, 0.1097)  1 Ge 1.76
O (0.0844, 0.7301, 0.1097)  1 Ge 1.76
O (0.1050, 0.1629, 0.4963)  2 Ge 1.77-1.78
O (0.3913, 0.3334, 0.4963)  2 Ge 1.77-1.78
O (0.8587, 0.5871, 0.0037)  2 Ge 1.77-1.78
O (0.1450, 0.4166, 0.0037)  2 Ge 1.77-1.78
O (0.6666, 0.6087, 0.5037)  2 Ge 1.77-1.78
O (0.8371, 0.8950, 0.5037)  2 Ge 1.77-1.78
O (0.5834, 0.8550, 0.9963)  2 Ge 1.77-1.78
O (0.4129, 0.1413, 0.9963)  2 Ge 1.77-1.78
O (0.0906, 0.0017, 0.5906)  2 Ge 1.80
O (0.5000, 0.5888, 0.5906)  2 Ge 1.80
O (0.7500, 0.7483, 0.9094)  2 Ge 1.80
O (0.1594, 0.1612, 0.9094)  2 Ge 1.80
O (0.4112, 0.5000, 0.4094)  2 Ge 1.80
O (0.9983, 0.9094, 0.4094)  2 Ge 1.80
O (0.8388, 0.8406, 0.0906)  2 Ge 1.80
O (0.2517, 0.2500, 0.0906)  2 Ge 1.80
O (0.8610, 0.8610, 0.7220)  2 Sb 1.98
O (0.3890, 0.8890, 0.7780)  2 Sb 1.98
O (0.1390, 0.1390, 0.2780)  2 Sb 1.98
O (0.1110, 0.6110, 0.2220)  2 Sb 1.98
O (0.3562, 0.3562, 0.7123)  2 Sb 1.97
O (0.8938, 0.3938, 0.7877)  2 Sb 1.97
O (0.6438, 0.6438, 0.2877)  2 Sb 1.97
O (0.6062, 0.1062, 0.2123)  2 Sb 1.97
O (0.5977, 0.0926, 0.6472)  2 Sb 1.99
O (0.0495, 0.5547, 0.6472)  2 Sb 1.99
O (0.2004, 0.6574, 0.8528)  2 Sb 1.99
O (0.6523, 0.1953, 0.8528)  2 Sb 1.99
O (0.4453, 0.9504, 0.3528)  2 Sb 1.99
O (0.9074, 0.4023, 0.3528)  2 Sb 1.99
O (0.8047, 0.3477, 0.1472)  2 Sb 1.99
O (0.3426, 0.7996, 0.1472)  2 Sb 1.99

---

This record from Alexandria via LeMat-Bulk describes a relaxed structure of Cs2ScGeO4. The functional is PBE.

Computed properties:
DFT total energy: -5.962 eV/atom
Uncorrected formation energy: -43.83 kcal/mol of atoms
Symmetry: No. 70
D(E_F): 1.94 states/eV/f.u.
Calculated density: 3.5 Mg/m³

Lattice parameters (Å, degrees): 5.5036 7.1751 11.9438 84.93 76.68 67.45
With the nearest neighbours (Å) after each atom.
Positions (direct):
Cs (0.1750, 0.0000, 0.6500)  8 O 3.51-3.76
Cs (0.8250, 0.0000, 0.3500)  8 O 3.51-3.76
Cs (0.5750, 0.5000, 0.8500)  8 O 3.51-3.76
Cs (0.9250, 0.5000, 0.1500)  8 O 3.51-3.76
Sc (0.7500, 0.5000, 0.5000)  4 O 2.02
Sc (0.0000, 0.0000, 0.0000)  4 O 2.02
Ge (0.2500, 0.5000, 0.5000)  4 O 1.87
Ge (0.5000, 0.0000, 0.0000)  4 O 1.87
O (0.3069, 0.8461, 0.0790)  1 Ge 1.87, 1 Sc 2.02
O (0.2320, 0.1539, 0.9210)  1 Ge 1.87, 1 Sc 2.02
O (0.8470, 0.8461, 0.9210)  1 Ge 1.87, 1 Sc 2.02
O (0.6141, 0.1539, 0.0790)  1 Ge 1.87, 1 Sc 2.02
O (0.4431, 0.6539, 0.4210)  1 Ge 1.87, 1 Sc 2.02
O (0.5180, 0.3461, 0.5790)  1 Ge 1.87, 1 Sc 2.02
O (0.9030, 0.6539, 0.5790)  1 Ge 1.87, 1 Sc 2.02
O (0.1359, 0.3461, 0.4210)  1 Ge 1.87, 1 Sc 2.02

---

This record from Alexandria via LeMat-Bulk describes a relaxed structure of Cs4Sm3GeO8. The functional is PBE.

Computed properties:
DFT total energy: -5.992 eV/atom
Uncorrected formation energy: -49.03 kcal/mol of atoms
Symmetry: No. 166
D(E_F): 2.19 states/eV/f.u.
Calculated density: 6.4 Mg/m³

Lattice parameters (Å, degrees): 7.1839 8.0494 7.1840 116.50 120.00 90.00
With the nearest neighbours (Å) after each atom.
Positions (direct):
Cs (0.5000, 0.0000, 0.0000)  6 O 3.16
Cs (0.5000, 0.0000, 0.5000)  6 O 3.08-3.09
Cs (0.0000, 0.0000, 0.0000)  6 O 3.08-3.09
Cs (0.0000, 0.0000, 0.5000)  6 O 3.08-3.09
Sm (0.5000, 0.5000, 0.0000)  6 O 2.38-2.40
Sm (0.5000, 0.5000, 0.5000)  6 O 2.38-2.40
Sm (0.0000, 0.5000, 0.5000)  6 O 2.38-2.40
Ge (0.0000, 0.5000, 0.0000)  6 O 2.30
O (0.2155, 0.6656, 0.9501)  1 Ge 2.30, 2 Sm 2.40
O (0.2155, 0.6657, 0.4311)  1 Ge 2.30, 2 Sm 2.40
O (0.2773, 0.3319, 0.5547)  3 Sm 2.38
O (0.7347, 0.6656, 0.9501)  1 Ge 2.30, 2 Sm 2.40
O (0.2653, 0.3344, 0.0499)  1 Ge 2.30, 2 Sm 2.40
O (0.7227, 0.6681, 0.4453)  3 Sm 2.38
O (0.7845, 0.3343, 0.5689)  1 Ge 2.30, 2 Sm 2.40
O (0.7845, 0.3344, 0.0499)  1 Ge 2.30, 2 Sm 2.40

---

This record from Alexandria via LeMat-Bulk describes a relaxed structure of Cs2SmGe2O6. The functional is PBE.

Computed properties:
DFT total energy: -6.123 eV/atom
Uncorrected formation energy: -46.00 kcal/mol of atoms
Symmetry: No. 166
D(E_F): 1.55 states/eV/f.u.
Calculated density: 5.2 Mg/m³

Lattice parameters (Å, degrees): 6.2681 6.2683 7.1874 115.85 90.00 120.00
With the nearest neighbours (Å) after each atom.
Positions (direct):
Cs (0.7206, 0.4412, 0.1619)  9 O 3.22-3.35
Cs (0.2794, 0.5588, 0.8381)  9 O 3.22-3.35
Sm (0.5000, 0.0000, 0.5000)  6 O 2.34
Ge (0.9269, 0.8537, 0.7804)  3 O 1.75
Ge (0.0731, 0.1463, 0.2196)  3 O 1.75
O (0.7486, 0.4972, 0.7184)  1 Ge 1.75
O (0.2512, 0.0293, 0.2810)  1 Ge 1.75
O (0.2219, 0.9707, 0.7190)  1 Ge 1.75
O (0.7488, 0.9707, 0.7190)  1 Ge 1.75
O (0.7781, 0.0293, 0.2810)  1 Ge 1.75
O (0.2514, 0.5028, 0.2816)  1 Ge 1.75

---

This record from Alexandria via LeMat-Bulk describes a relaxed structure of CsSmGeO4. The functional is PBE.

Computed properties:
DFT total energy: -6.643 eV/atom
Uncorrected formation energy: -54.29 kcal/mol of atoms
Symmetry: No. 11
D(E_F): 0.00 states/eV/f.u.
Calculated density: 5.1 Mg/m³

Lattice parameters (Å, degrees): 5.8995 6.0318 8.1430 90.00 108.12 90.00
With the nearest neighbours (Å) after each atom.
Positions (direct):
Cs (0.6940, 0.7500, 0.9310)  4 O 2.90-3.24
Cs (0.3060, 0.2500, 0.0690)  4 O 2.90-3.24
Sm (0.7923, 0.7500, 0.4612)  6 O 2.34-2.48
Sm (0.2077, 0.2500, 0.5388)  6 O 2.34-2.48
Ge (0.2523, 0.7500, 0.3491)  4 O 1.77-1.80
Ge (0.7477, 0.2500, 0.6509)  4 O 1.77-1.80
O (0.9540, 0.4751, 0.6670)  1 Ge 1.80
O (0.0460, 0.9751, 0.3330)  1 Ge 1.80
O (0.0460, 0.5249, 0.3330)  1 Ge 1.80
O (0.9540, 0.0249, 0.6670)  1 Ge 1.80
O (0.4365, 0.7500, 0.2147)  1 Ge 1.77
O (0.5635, 0.2500, 0.7853)  1 Ge 1.77
O (0.4583, 0.7500, 0.5610)  1 Ge 1.77
O (0.5417, 0.2500, 0.4390)  1 Ge 1.77